BeSe3 (PBE-GGA, optimized geometry); spin magnetization = 0.000 μB per atom; distance to the lowest polymorph of the same formula = 0.3253 eV/atom; ΔE_f (raw) = 0.265 eV/atom
1.0
9.306 0.174 0.000
7.856 4.992 0.000
-8.581 -2.583 2.516
Be Se
1 3
direct
0.000 0.000 0.000 Be
0.500 0.500 0.000 Se
0.250 0.750 0.500 Se
0.750 0.250 0.500 Se